w.
A relaxed structure of FeCu3As, computed with PBE.

extended XYZ file:
```
5
Lattice="4.4369 0.0000 0.0000 0.0000 4.4369 0.0000 0.0000 0.0000 4.4369" Properties=species:S:1:pos:R:3 pbc="T T T"
Fe 0.0000 0.0000 0.0000
Cu 0.0000 0.0000 2.2185
Cu 0.0000 2.2185 0.0000
Cu 2.2185 0.0000 0.0000
As 2.2185 2.2185 2.2185
```

Values from the calculation:
Space group: No. 221
Crystal system: cubic
DOS(E_F) in states/eV per atom: 0.94

=====

x.
A relaxed structure of FeCu3As, computed with PBE.

extended XYZ file:
```
5
Lattice="4.4403 0.0000 0.0000 0.0000 4.4403 0.0000 0.0000 0.0000 4.4403" Properties=species:S:1:pos:R:3 pbc="T T T"
Fe 0.0000 0.0000 0.0000
Cu 0.0000 2.2202 2.2202
Cu 2.2202 0.0000 2.2202
Cu 2.2202 2.2202 0.0000
As 2.2202 2.2202 2.2202
```

Values from the calculation:
Space group: No. 221
Crystal system: cubic
DOS(E_F) in states/eV per atom: 0.97

=====

The least stable of them is w.

=====

w.
A relaxed structure of GaCu2As2, computed with PBE.

extended XYZ file:
```
5
Lattice="-2.1083 2.1083 5.0912 2.1083 -2.1083 5.0912 2.1083 2.1083 -5.0912" Properties=species:S:1:pos:R:3 pbc="T T T"
Ga 0.0000 0.0000 0.0000
Cu 2.1083 0.0000 2.5456
Cu 0.0000 2.1083 2.5456
As 0.0000 0.0000 3.8478
As 0.0000 0.0000 6.3346
```

Values from the calculation:
Space group: No. 139
Crystal system: tetragonal
DOS(E_F) in states/eV per atom: 0.33

=====

x.
A relaxed structure of GaCu2As2, computed with PBE.

extended XYZ file:
```
10
Lattice="7.7854 0.0000 0.0000 0.0000 7.7854 0.0000 0.0000 0.0000 2.7378" Properties=species:S:1:pos:R:3 pbc="T T T"
Ga 0.0000 0.0000 0.0000
Ga 3.8927 3.8927 0.0000
Cu 1.0567 2.8360 1.3689
Cu 2.8360 6.7287 1.3689
Cu 4.9494 1.0567 1.3689
Cu 6.7287 4.9494 1.3689
As 1.2399 5.1326 0.0000
As 2.6528 1.2399 0.0000
As 5.1326 6.5455 0.0000
As 6.5455 2.6528 0.0000
```

Values from the calculation:
Space group: No. 127
Crystal system: tetragonal
DOS(E_F) in states/eV per atom: 0.26

=====

The least stable of them is x.

=====

w.
A relaxed structure of GaCuAsSe2, computed with PBE.

extended XYZ file:
```
5
Lattice="5.0084 0.0000 0.0000 0.0000 5.0084 0.0000 0.0000 0.0000 4.8304" Properties=species:S:1:pos:R:3 pbc="T T T"
Ga 0.0000 0.0000 0.0000
Cu 2.5042 2.5042 2.4152
As 0.0000 0.0000 2.4152
Se 0.0000 2.5042 0.0000
Se 2.5042 0.0000 0.0000
```

Values from the calculation:
Space group: No. 123
Crystal system: tetragonal
DOS(E_F) in states/eV per atom: 0.79

=====

x.
A relaxed structure of GaCuAsSe2, computed with PBE.

extended XYZ file:
```
5
Lattice="5.0235 0.0000 0.0000 0.0000 5.0235 0.0000 0.0000 0.0000 4.5560" Properties=species:S:1:pos:R:3 pbc="T T T"
Ga 0.0000 0.0000 0.0000
Cu 2.5117 2.5117 2.2780
As 2.5117 2.5117 0.0000
Se 0.0000 2.5117 2.2780
Se 2.5117 0.0000 2.2780
```

Values from the calculation:
Space group: No. 123
Crystal system: tetragonal
DOS(E_F) in states/eV per atom: 0.68

=====

The least stable of them is w.